A geometry-optimized ScAlNi2Mo structure, computed with PBE.

Values from the calculation:
Formation energy = 1.183 eV/atom
Crystal system = tetragonal
DOS(E_F) = 2.6 states/eV/cell

Structure (POSCAR):
```
ScAlNi2Mo
1.0
4.3296 0.0000 0.0000
0.0000 4.7595 0.0000
0.0000 0.0000 4.3296
Sc Ni Al Mo
1 2 1 1
Direct
0.0000 0.0000 0.0000
0.5000 0.0000 0.0000
0.0000 0.0000 0.5000
0.5000 0.5000 0.5000
0.0000 0.5000 0.0000
```